PuHf2Hg: relaxed, PBE.

Its formation energy is 0.06 eV per atom. As for the crystal system: tetragonal. The value obtained for the electronic total energy is -8.574 eV per atom. For the energy relative to the lowest polymorph listed for this composition, the calculation gives 42 meV per atom. Its density of states at the Fermi level is 1.165 states/eV per atom.

The structure belongs to space group P4/mmm (No. 123); the cell edges are 5.140, 5.140 and 3.284 Å and the angles 90.00°, 90.00° and 90.00°. The distinct sites, in fractional coordinates, are Pu at (0.000, 0.000, 0.000), Hf at (0.000, 0.500, 0.500) and Hg at (0.500, 0.500, 0.000).